Ac2ErSn4Pt3: relaxed, PBE.

Unit cell a=4.5795 b=4.5795 c=12.1430 alpha=90.00 beta=90.00 gamma=90.00
With the nearest neighbours (Å) after each atom.
Space group P-4m2 (No. 115)
Inequivalent atoms, fractional coordinates:
Ac (0.0000, 0.5000, 0.2355) [2 per cell]  8 Sn 3.50-3.66, 4 Pt 3.51
Er (0.0000, 0.0000, 0.5000) [1 per cell]  4 Sn 2.96, 4 Pt 3.24
Sn (0.0000, 0.0000, 0.0000) [1 per cell]  4 Pt 2.74
Sn (0.0000, 0.5000, 0.6544) [2 per cell]  3 Pt 2.69-2.96, 2 Er 2.96
Sn (0.5000, 0.5000, 0.0000) [1 per cell]  4 Pt 2.74
Pt (0.0000, 0.5000, 0.8763) [2 per cell]  5 Sn 2.69-2.74
Pt (0.5000, 0.5000, 0.5000) [1 per cell]  4 Sn 2.96, 4 Er 3.24

Output
Calculated formation energy   -866.5 meV per atom
Crystal system   tetragonal